(1)
VASP calculation (PBE) on a relaxed structure of Si3Cl2.

Cell lengths 7.600, 6.416, 7.701 Å; angles 64.39, 49.58, 66.03 degrees
Positions (direct):
Si 0.000 0.000 0.000
Si 0.013 0.242 0.660
Si 0.165 0.590 0.008
Si 0.242 0.013 0.085
Si 0.250 0.250 0.250
Si 0.590 0.165 0.237
Cl 0.039 0.571 0.626
Cl 0.487 0.624 0.679
Cl 0.571 0.039 0.763
Cl 0.624 0.487 0.211

magnetization: 0.0 μB/f.u.
offset from the most stable computed form: 0.000 eV/atom
crystal system: orthorhombic
symmetry: No. 43



(2)
VASP calculation (PBE) on a relaxed structure of Si2Cl.

Cell lengths 4.298, 4.298, 6.742 Å; angles 90.00, 90.00, 120.00 degrees
Positions (direct):
Si 0.333 0.667 0.064
Si 0.333 0.667 0.436
Si 0.667 0.333 0.564
Si 0.667 0.333 0.936
Cl 0.000 0.000 0.250
Cl 0.000 0.000 0.750

magnetization: 0.0 μB/f.u.
offset from the most stable computed form: 0.794 eV/atom
crystal system: hexagonal
symmetry: No. 194



(3)
VASP calculation (PBE) on a relaxed structure of SiCl2.

Cell lengths 4.842, 4.842, 3.134 Å; angles 90.00, 90.00, 120.00 degrees
Positions (direct):
Si 0.000 0.000 0.000
Cl 0.333 0.667 0.500
Cl 0.667 0.333 0.500

magnetization: 0.0 μB/f.u.
crystal system: hexagonal
raw total energy: -2.503 eV/atom
symmetry: No. 191